(1)
Density functional theory data (PBE-GGA) for a geometry-optimized TlBrO2 structure.

Unit cell a=7.0840 b=7.0139 c=6.7158 alpha=90.00 beta=90.00 gamma=90.00
Space group Pna2_1 (No. 33)
Unique sites:
Tl 0.0289 0.1232 0.0000
Br 0.1416 0.6003 0.1507
O 0.1076 0.9001 0.2146
O 0.2271 0.3261 0.1329

Output
Formation energy (no corrections) ... -0.202 eV/atom

(2)
Density functional theory data (PBE-GGA) for a geometry-optimized YTl2 structure.

Unit cell a=6.6200 b=4.7393 c=10.5628 alpha=90.00 beta=90.00 gamma=90.00
Space group Pnma (No. 62)
Unique sites:
Y 0.1520 0.2500 0.1013
Tl 0.1022 0.2500 0.7653
Tl 0.1416 0.2500 0.4224

Output
E_form ... -236 meV per atom

(3)
Density functional theory data (PBE-GGA) for a geometry-optimized Dy5Tm2Th5 structure.

Unit cell a=14.9797 b=5.0277 c=11.2616 alpha=90.00 beta=116.27 gamma=90.00
Space group C2/m (No. 12)
Unique sites:
Dy 0.0000 0.0000 0.0000
Dy 0.0838 0.0000 0.7480
Dy 0.1682 0.0000 0.5043
Tm 0.0834 0.5000 0.2508
Th 0.0000 0.5000 0.5000
Th 0.1686 0.5000 0.0033
Th 0.2497 0.0000 0.2462

Output
E_form ... 47 meV per atom

no.,DOS(E_F) (states/eV/cell),calculated volume (Å³/cell),magnetization (μB per atom)
1,0.000,334,0.00
2,8.229,331,0.00
3,36.908,761,0.00